VASP calculation (PBE-GGA) on a relaxed Nd4Sb2AsPb crystal.

a = 6.336 Å, b = 6.336 Å, c = 7.748 Å
α = 114.13°, β = 114.13°, γ = 90.00°
Element x y z (fractional)
Nd 0.509 0.009 0.019
Nd 0.247 0.247 0.493
Nd 0.991 0.491 0.981
Nd 0.753 0.753 0.507
Sb 0.250 0.750 0.500
Sb 0.000 0.000 0.000
Pb 0.500 0.500 0.000
As 0.750 0.250 0.500

Results
E_form (uncorrected)   -1.0358 eV/atom

---

VASP calculation (PBE-GGA) on a relaxed Nd6Sb3As2Pb crystal.

a = 4.428 Å, b = 8.952 Å, c = 9.889 Å
α = 101.99°, β = 102.94°, γ = 90.00°
Element x y z (fractional)
As 0.169 0.337 0.338
As 0.831 0.663 0.662
Nd 0.671 0.576 0.342
Nd 0.993 0.740 0.986
Nd 0.329 0.900 0.658
Nd 0.329 0.424 0.658
Nd 0.007 0.260 0.014
Nd 0.671 0.100 0.342
Pb 0.500 0.000 0.000
Sb 0.837 0.166 0.673
Sb 0.163 0.834 0.327
Sb 0.500 0.500 0.000

Results
E_form (uncorrected)   -1.1464 eV/atom

---

VASP calculation (PBE-GGA) on a relaxed Nd4AsPbSe2 crystal.

a = 4.344 Å, b = 7.496 Å, c = 7.543 Å
α = 70.48°, β = 90.00°, γ = 90.00°
Element x y z (fractional)
As 0.000 0.500 0.500
Se 0.500 0.000 0.500
Se 0.000 0.000 0.000
Nd 0.000 0.246 0.260
Nd 0.000 0.754 0.740
Nd 0.500 0.254 0.740
Nd 0.500 0.746 0.260
Pb 0.500 0.500 0.000

Results
E_form (uncorrected)   -1.4438 eV/atom

---

VASP calculation (PBE-GGA) on a relaxed Nd6As2PbSe3 crystal.

a = 4.309 Å, b = 8.643 Å, c = 9.640 Å
α = 102.74°, β = 102.91°, γ = 90.00°
Element x y z (fractional)
Nd 0.671 0.094 0.341
Nd 0.003 0.261 0.006
Nd 0.330 0.423 0.660
Nd 0.997 0.739 0.994
Nd 0.670 0.577 0.340
Nd 0.329 0.906 0.659
As 0.832 0.665 0.664
As 0.168 0.335 0.336
Se 0.500 0.500 0.000
Se 0.165 0.832 0.331
Se 0.835 0.168 0.669
Pb 0.500 0.000 0.000

Results
E_form (uncorrected)   -1.5371 eV/atom

---

VASP calculation (PBE-GGA) on a relaxed Nd4AsPb2Se crystal.

a = 4.249 Å, b = 8.095 Å, c = 7.401 Å
α = 72.47°, β = 90.00°, γ = 90.00°
Element x y z (fractional)
Nd 0.000 0.725 0.755
Nd 0.000 0.275 0.245
Nd 0.500 0.278 0.737
Nd 0.500 0.722 0.263
As 0.000 0.500 0.500
Pb 0.000 0.000 0.000
Pb 0.500 0.000 0.500
Se 0.500 0.500 0.000

Results
E_form (uncorrected)   -1.0932 eV/atom

---

VASP calculation (PBE-GGA) on a relaxed Nd6AsPb2Se3 crystal.

a = 4.361 Å, b = 8.750 Å, c = 9.760 Å
α = 102.65°, β = 102.91°, γ = 90.00°
Element x y z (fractional)
Se 0.166 0.834 0.333
Se 0.834 0.166 0.667
Se 0.500 0.500 0.000
Nd 0.337 0.927 0.674
Nd 0.663 0.073 0.326
Nd 0.999 0.240 0.997
Nd 0.338 0.410 0.675
Nd 0.001 0.760 0.003
Nd 0.662 0.590 0.325
Pb 0.167 0.333 0.334
Pb 0.833 0.667 0.666
As 0.500 0.000 0.000

Results
E_form (uncorrected)   -1.3545 eV/atom